Entry 1:
# TmSnSbI2 PBE-GGA relaxed
data_TmSnSbI2
_cell_length_a 4.3842
_cell_length_b 4.3842
_cell_length_c 11.4618
_cell_angle_alpha 90.00
_cell_angle_beta 90.00
_cell_angle_gamma 120.00
_symmetry_space_group_name_H-M 'P 3 m 1'
_symmetry_Int_Tables_number 156
loop_
_symmetry_equiv_pos_as_xyz
'x,y,z'
'-y,x-y,z'
'-x+y,-x,z'
'-y,-x,z'
'-x+y,y,z'
'x,x-y,z'
loop_
_atom_site_label
_atom_site_type_symbol
_atom_site_fract_x
_atom_site_fract_y
_atom_site_fract_z
Tm1 Tm 0.0000 0.0000 0.0000
Sn1 Sn 0.6667 0.3333 0.6895
Sb1 Sb 0.3333 0.6667 0.8554
I1 I 0.0000 0.0000 0.5161
I2 I 0.6667 0.3333 0.1653
# - DFT total energy: -3.880 eV per atom

Entry 2:
# TbTmSbI2 PBE-GGA relaxed
data_TbTmSbI2
_cell_length_a 4.3169
_cell_length_b 4.3169
_cell_length_c 11.1437
_cell_angle_alpha 90.00
_cell_angle_beta 90.00
_cell_angle_gamma 120.00
_symmetry_space_group_name_H-M 'P 3 m 1'
_symmetry_Int_Tables_number 156
loop_
_symmetry_equiv_pos_as_xyz
'x,y,z'
'-y,x-y,z'
'-x+y,-x,z'
'-y,-x,z'
'-x+y,y,z'
'x,x-y,z'
loop_
_atom_site_label
_atom_site_type_symbol
_atom_site_fract_x
_atom_site_fract_y
_atom_site_fract_z
Tb1 Tb 0.0000 0.0000 0.0000
Tm1 Tm 0.3333 0.6667 0.3010
Sb1 Sb 0.6667 0.3333 0.1544
I1 I 0.0000 0.0000 0.4727
I2 I 0.3333 0.6667 0.8238
# - DFT total energy: -4.498 eV per atom